Below is a geometry-optimized Tb2Dy5Sc5 structure, with properties calculated at the GGA-PBE level.

Lattice parameters (Å, degrees): 11.517 5.411 11.556 90.00 108.95 90.00
Space group C2/m (No. 12)
Asymmetric unit:
Tb 0.214 0.000 0.042
Dy 0.000 0.000 0.500
Dy 0.042 0.000 0.208
Dy 0.247 0.500 0.257
Sc 0.000 0.500 0.000
Sc 0.042 0.500 0.700
Sc 0.208 0.500 0.539

Calculated values
Its crystal system is monoclinic. The value obtained for the energy above the lowest structure with this stoichiometry is 30 meV per atom. The total magnetic moment comes out at 0.00 μB/cell. As for the density of states at the Fermi level: 43.09 states/eV per cell. For the energy of formation, the calculation gives 8 kJ per mole of atoms.

Below is a geometry-optimized SrCuOF2 structure, with properties calculated at the GGA-PBE level.

Lattice parameters (Å, degrees): 4.606 4.606 4.763 90.00 90.00 90.00
Space group P4/mmm (No. 123)
Asymmetric unit:
Sr 0.000 0.000 0.000
Cu 0.500 0.500 0.500
O 0.000 0.000 0.500
F 0.000 0.500 0.000

Calculated values
Its crystal system is tetragonal. The value obtained for the energy above the lowest structure with this stoichiometry is 886 meV per atom. The total magnetic moment comes out at 1.00 μB/cell. As for the density of states at the Fermi level: 4.13 states/eV per cell. As for the raw formation energy: -1.3819 eV per atom.

Below is a geometry-optimized Bi3SbO7 structure, with properties calculated at the GGA-PBE level.

Lattice parameters (Å, degrees): 7.868 11.016 7.712 90.00 90.00 90.00
Space group C222_1 (No. 20)
Asymmetric unit:
Bi 0.037 0.000 0.000
Bi 0.237 0.260 0.756
Sb 0.001 0.500 0.000
O 0.000 0.130 0.250
O 0.000 0.138 0.750
O 0.000 0.441 0.750
O 0.172 0.370 0.039
O 0.199 0.383 0.467

Calculated values
Its crystal system is orthorhombic. The value obtained for the energy above the lowest structure with this stoichiometry is 14 meV per atom. The total magnetic moment comes out at 0.00 μB/cell. As for the density of states at the Fermi level: 0.00 states/eV per cell. As for the raw formation energy: -1.3231 eV per atom.

Among the records above, which one has the highest total magnetic moment?
SrCuOF2

energy above the lowest structure with this stoichiometry of number 1 (Tb2Dy5Sc5)?
30 meV per atom

Which formula does entry 3 have?
Bi3SbO7